This record from Alexandria via LeMat-Bulk describes Ac4InCu3 after structural relaxation. The functional is PBE-GGA. Values from VASP.

Values from the calculation:
Density = 8.42 g/cm3
Energy of formation = -0.1706 eV per atom

```
&SYSTEM
  ibrav = 0, nat = 8, ntyp = 3
/
ATOMIC_SPECIES
Ac 227.00 Ac.upf
In 114.82 In.upf
Cu 63.55 Cu.upf
ATOMIC_POSITIONS crystal
Ac 0.000 0.000 0.000
Ac 0.000 0.500 0.469
Ac 0.500 0.000 0.688
Ac 0.500 0.500 0.193
In 0.000 0.500 0.780
Cu 0.000 0.000 0.282
Cu 0.500 0.000 0.389
Cu 0.500 0.500 0.909
CELL_PARAMETERS angstrom
4.660 0.000 0.000
0.000 4.695 0.000
0.000 0.000 10.938
```

---

This record from Alexandria via LeMat-Bulk describes CrSeBr2 after structural relaxation. The functional is PBE-GGA. Values from VASP.

Values from the calculation:
Density = 3.83 g/cm3
Formation energy from raw total energies = 38.1 meV per atom
Relative energy among the computed polymorphs = 1.80 eV per formula unit

```
&SYSTEM
  ibrav = 0, nat = 4, ntyp = 3
/
ATOMIC_SPECIES
Cr 52.00 Cr.upf
Se 78.96 Se.upf
Br 79.90 Br.upf
ATOMIC_POSITIONS crystal
Cr 0.000 0.000 0.000
Se 0.000 0.000 0.500
Br 0.500 0.500 0.154
Br 0.500 0.500 0.846
CELL_PARAMETERS angstrom
1.705 -3.179 0.000
1.705 3.179 0.000
0.000 0.000 11.628
```

---

This record from Alexandria via LeMat-Bulk describes PI2Cl after structural relaxation. The functional is PBE-GGA. Values from VASP.

Values from the calculation:
Density = 3.95 g/cm3
Formation energy from raw total energies = 309.4 meV per atom
Relative energy among the computed polymorphs = 2.23 eV per formula unit

```
&SYSTEM
  ibrav = 0, nat = 8, ntyp = 3
/
ATOMIC_SPECIES
P 30.97 P.upf
I 126.90 I.upf
Cl 35.45 Cl.upf
ATOMIC_POSITIONS crystal
P 0.000 0.000 0.000
P 0.750 0.250 0.500
I 0.066 0.125 0.441
I 0.375 0.934 0.059
I 0.684 0.625 0.559
I 0.875 0.316 0.941
Cl 0.250 0.750 0.500
Cl 0.500 0.500 0.000
CELL_PARAMETERS angstrom
-3.977 3.977 4.254
3.977 -3.977 4.254
3.977 3.977 -4.254
```

---

This record from Alexandria via LeMat-Bulk describes SrTiVPt2 after structural relaxation. The functional is PBE-GGA. Values from VASP.

Values from the calculation:
Density = 7.69 g/cm3
Energy of formation = 1.9378 eV per atom

```
&SYSTEM
  ibrav = 0, nat = 5, ntyp = 4
/
ATOMIC_SPECIES
Sr 87.62 Sr.upf
Ti 47.87 Ti.upf
V 50.94 V.upf
Pt 195.08 Pt.upf
ATOMIC_POSITIONS crystal
Sr 0.000 0.000 0.000
Ti 0.000 0.000 0.500
V 0.500 0.500 0.500
Pt 0.000 0.500 0.000
Pt 0.500 0.000 0.000
CELL_PARAMETERS angstrom
5.083 0.000 0.000
0.000 5.083 0.000
0.000 0.000 4.817
```

---

This record from Alexandria via LeMat-Bulk describes Pm3Sm3YSe8 after structural relaxation. The functional is PBE-GGA. Values from VASP.

Values from the calculation:
Density = 6.52 g/cm3
Formation energy from raw total energies = -1875.2 meV per atom

```
&SYSTEM
  ibrav = 0, nat = 15, ntyp = 4
/
ATOMIC_SPECIES
Pm 145.00 Pm.upf
Sm 150.36 Sm.upf
Y 88.91 Y.upf
Se 78.96 Se.upf
ATOMIC_POSITIONS crystal
Pm 0.000 0.500 0.500
Pm 0.500 0.000 0.500
Pm 0.500 0.500 0.000
Sm 0.000 0.000 0.500
Sm 0.000 0.500 0.000
Sm 0.500 0.000 0.000
Y 0.500 0.500 0.500
Se 0.249 0.249 0.249
Se 0.250 0.749 0.749
Se 0.251 0.251 0.750
Se 0.251 0.750 0.251
Se 0.749 0.250 0.749
Se 0.749 0.749 0.250
Se 0.750 0.251 0.251
Se 0.751 0.751 0.751
CELL_PARAMETERS angstrom
4.164 2.404 6.810
-4.164 2.404 6.810
0.000 -4.809 6.810
```

---

This record from Alexandria via LeMat-Bulk describes Er4Te3 after structural relaxation. The functional is PBE-GGA. Values from VASP.

Values from the calculation:
Density = 8.43 g/cm3
Formation energy from raw total energies = -990.3 meV per atom
Relative energy among the computed polymorphs = 0.07 eV per formula unit

```
&SYSTEM
  ibrav = 0, nat = 7, ntyp = 2
/
ATOMIC_SPECIES
Er 167.26 Er.upf
Te 127.60 Te.upf
ATOMIC_POSITIONS crystal
Er 0.121 0.121 0.121
Er 0.364 0.364 0.364
Er 0.636 0.636 0.636
Er 0.879 0.879 0.879
Te 0.256 0.256 0.256
Te 0.500 0.500 0.500
Te 0.744 0.744 0.744
CELL_PARAMETERS angstrom
2.049 1.183 14.252
-2.049 1.183 14.252
0.000 -2.366 14.252
```

---

This record from Alexandria via LeMat-Bulk describes Cs5Rb5S after structural relaxation. The functional is PBE-GGA. Values from VASP.

Values from the calculation:
Density = 1.90 g/cm3
Formation energy from raw total energies = -262.8 meV per atom

```
&SYSTEM
  ibrav = 0, nat = 11, ntyp = 3
/
ATOMIC_SPECIES
Cs 132.91 Cs.upf
Rb 85.47 Rb.upf
S 32.06 S.upf
ATOMIC_POSITIONS crystal
Cs 0.000 0.000 0.000
Cs 0.333 0.333 0.099
Cs 0.400 0.400 0.817
Cs 0.600 0.600 0.183
Cs 0.667 0.667 0.901
Rb 0.098 0.098 0.680
Rb 0.203 0.203 0.399
Rb 0.500 0.500 0.500
Rb 0.797 0.797 0.601
Rb 0.902 0.902 0.320
S 0.500 0.500 0.000
CELL_PARAMETERS angstrom
8.467 -3.563 0.000
8.467 3.563 0.000
-0.865 0.000 16.301
```

---

This record from Alexandria via LeMat-Bulk describes ZrIn3 after structural relaxation. The functional is PBE-GGA. Values from VASP.

Values from the calculation:
Density = 7.42 g/cm3
Energy of formation = -0.0872 eV per atom

```
&SYSTEM
  ibrav = 0, nat = 4, ntyp = 2
/
ATOMIC_SPECIES
Zr 91.22 Zr.upf
In 114.82 In.upf
ATOMIC_POSITIONS crystal
Zr 0.000 0.000 0.000
In 0.253 0.253 0.253
In 0.500 0.500 0.500
In 0.747 0.747 0.747
CELL_PARAMETERS angstrom
1.665 0.962 10.147
-1.665 0.962 10.147
0.000 -1.923 10.147
```

---

This record from Alexandria via LeMat-Bulk describes Sc5Ni2Hg2Ru after structural relaxation. The functional is PBE-GGA. Values from VASP.

Values from the calculation:
Density = 7.35 g/cm3
Energy of formation = -0.4150 eV per atom

```
&SYSTEM
  ibrav = 0, nat = 20, ntyp = 4
/
ATOMIC_SPECIES
Sc 44.96 Sc.upf
Ni 58.69 Ni.upf
Hg 200.59 Hg.upf
Ru 101.07 Ru.upf
ATOMIC_POSITIONS crystal
Sc 0.000 0.500 0.000
Sc 0.074 0.193 0.000
Sc 0.193 0.926 0.000
Sc 0.307 0.426 0.000
Sc 0.426 0.693 0.000
Sc 0.500 0.000 0.000
Sc 0.574 0.307 0.000
Sc 0.693 0.574 0.000
Sc 0.807 0.074 0.000
Sc 0.926 0.807 0.000
Ni 0.132 0.368 0.500
Ni 0.368 0.868 0.500
Ni 0.632 0.132 0.500
Ni 0.868 0.632 0.500
Hg 0.173 0.673 0.500
Hg 0.327 0.173 0.500
Hg 0.673 0.827 0.500
Hg 0.827 0.327 0.500
Ru 0.000 0.000 0.500
Ru 0.500 0.500 0.500
CELL_PARAMETERS angstrom
10.847 0.000 0.000
0.000 10.847 0.000
0.000 0.000 3.245
```

---

This record from Alexandria via LeMat-Bulk describes Zn4SeBr after structural relaxation. The functional is PBE-GGA. Values from VASP.

Values from the calculation:
Density = 6.10 g/cm3
Formation energy from raw total energies = 157.8 meV per atom

```
&SYSTEM
  ibrav = 0, nat = 6, ntyp = 3
/
ATOMIC_SPECIES
Zn 65.41 Zn.upf
Se 78.96 Se.upf
Br 79.90 Br.upf
ATOMIC_POSITIONS crystal
Zn 0.376 0.376 0.376
Zn 0.376 0.376 0.873
Zn 0.376 0.873 0.376
Zn 0.873 0.376 0.376
Se 0.750 0.750 0.750
Br 0.000 0.000 0.000
CELL_PARAMETERS angstrom
0.000 3.854 3.854
3.854 0.000 3.854
3.854 3.854 0.000
```

---

This record from Alexandria via LeMat-Bulk describes GeSbTePd after structural relaxation. The functional is PBE-GGA. Values from VASP.

Values from the calculation:
Density = 7.12 g/cm3
Formation energy from raw total energies = -134.9 meV per atom
Relative energy among the computed polymorphs = 0.05 eV per formula unit

```
&SYSTEM
  ibrav = 0, nat = 4, ntyp = 4
/
ATOMIC_SPECIES
Ge 72.64 Ge.upf
Sb 121.76 Sb.upf
Te 127.60 Te.upf
Pd 106.42 Pd.upf
ATOMIC_POSITIONS crystal
Ge 0.000 0.000 0.000
Sb 0.350 0.477 0.677
Te 0.925 0.307 0.323
Pd 0.650 0.727 0.900
CELL_PARAMETERS angstrom
4.244 0.000 0.000
2.053 3.776 0.000
0.869 1.831 6.233
```

---

This record from Alexandria via LeMat-Bulk describes NaSbSeO6 after structural relaxation. The functional is PBE-GGA. Values from VASP.

Values from the calculation:
Density = 4.48 g/cm3
Formation energy from raw total energies = -1115.7 meV per atom

```
&SYSTEM
  ibrav = 0, nat = 18, ntyp = 4
/
ATOMIC_SPECIES
Na 22.99 Na.upf
Sb 121.76 Sb.upf
Se 78.96 Se.upf
O 16.00 O.upf
ATOMIC_POSITIONS crystal
Na 0.000 0.000 0.000
Na 0.000 0.000 0.500
Sb 0.333 0.667 0.250
Sb 0.667 0.333 0.750
Se 0.333 0.667 0.750
Se 0.667 0.333 0.250
O 0.026 0.389 0.648
O 0.026 0.637 0.852
O 0.363 0.389 0.852
O 0.363 0.974 0.648
O 0.389 0.026 0.148
O 0.389 0.363 0.352
O 0.611 0.637 0.648
O 0.611 0.974 0.852
O 0.637 0.026 0.352
O 0.637 0.611 0.148
O 0.974 0.363 0.148
O 0.974 0.611 0.352
CELL_PARAMETERS angstrom
5.111 0.000 0.000
-2.556 4.427 0.000
0.000 0.000 10.487
```